Ho4BPS2: optimized geometry, PBE.

Cell: 5.495 5.495 6.760 Å, 113.98 113.98 90.00°
Sites, in units of the cell vectors:
S: 0.250 0.750 0.500
S: 0.000 0.000 0.000
P: 0.500 0.500 0.000
Ho: 0.748 0.748 0.497
Ho: 0.985 0.485 0.970
Ho: 0.252 0.252 0.503
Ho: 0.515 0.015 0.030
B: 0.750 0.250 0.500

space group: I-4m2 (119)
formation energy (no corrections): -1.48 eV per atom
uncorrected energy: -50.49 eV/cell